<i>
A relaxed structure of Li2CdW. Source: Alexandria via LeMat-Bulk, functional PBE.

Lattice parameters (Å, degrees): 3.034 4.516 9.875 90.00 90.00 90.00
Space group Cmmm (No. 65)
Unique sites:
Li: 0.000 0.000 0.241 x4
Cd: 0.000 0.500 0.500 x2
W: 0.000 0.500 0.000 x2

<ii>
A relaxed structure of Li2CdW. Source: Alexandria via LeMat-Bulk, functional PBE.

Lattice parameters (Å, degrees): 2.603 4.869 5.373 90.00 92.15 90.00
Space group P2/m (No. 10)
Unique sites:
Li: 0.150 0.000 0.218 x2
Cd: 0.000 0.500 0.500 x1
W: 0.500 0.500 0.000 x1

<iii>
A relaxed structure of Li2CdW. Source: Alexandria via LeMat-Bulk, functional PBE.

Lattice parameters (Å, degrees): 2.658 5.020 5.150 90.00 90.00 90.00
Space group Pmmm (No. 47)
Unique sites:
Li: 0.000 0.000 0.000 x1
Li: 0.500 0.000 0.500 x1
Cd: 0.000 0.500 0.500 x1
W: 0.500 0.500 0.000 x1

The most stable of them is <i>.

<i>
A relaxed structure of LiCd2W. Source: Alexandria via LeMat-Bulk, functional PBE.

Lattice parameters (Å, degrees): 2.836 5.041 5.095 90.00 90.00 90.00
Space group Pmmm (No. 47)
Unique sites:
Li: 0.000 0.000 0.000 x1
Cd: 0.000 0.500 0.500 x1
Cd: 0.500 0.500 0.000 x1
W: 0.500 0.000 0.500 x1

<ii>
A relaxed structure of LiCd2W. Source: Alexandria via LeMat-Bulk, functional PBE.

Lattice parameters (Å, degrees): 6.664 6.664 6.664 90.00 90.00 90.00
Space group Fm-3m (No. 225)
Unique sites:
Li: 0.000 0.000 0.000 x4
Cd: 0.250 0.250 0.250 x8
W: 0.000 0.000 0.500 x4

<iii>
A relaxed structure of LiCd2W. Source: Alexandria via LeMat-Bulk, functional PBE.

Lattice parameters (Å, degrees): 4.083 4.083 8.675 90.00 90.00 90.00
Space group I-4m2 (No. 119)
Unique sites:
Li: 0.000 0.000 0.000 x2
Cd: 0.000 0.000 0.500 x2
Cd: 0.000 0.500 0.250 x2
W: 0.000 0.500 0.750 x2

<iv>
A relaxed structure of LiCd2W. Source: Alexandria via LeMat-Bulk, functional PBE.

Lattice parameters (Å, degrees): 2.783 4.275 6.102 90.00 90.00 90.00
Space group Pmmm (No. 47)
Unique sites:
Li: 0.000 0.000 0.000 x1
Cd: 0.500 0.500 0.250 x2
W: 0.000 0.000 0.500 x1

The most stable of them is <iv>.

<i>
A relaxed structure of LiCdW. Source: Alexandria via LeMat-Bulk, functional PBE.

Lattice parameters (Å, degrees): 6.452 6.452 6.452 90.00 90.00 90.00
Space group F-43m (No. 216)
Unique sites:
Li: 0.000 0.000 0.000 x4
Cd: 0.000 0.000 0.500 x4
W: 0.250 0.250 0.750 x4

<ii>
A relaxed structure of LiCdW. Source: Alexandria via LeMat-Bulk, functional PBE.

Lattice parameters (Å, degrees): 5.939 5.939 5.939 90.00 90.00 90.00
Space group F-43m (No. 216)
Unique sites:
Li: 0.000 0.000 0.000 x4
Cd: 0.250 0.250 0.750 x4
W: 0.250 0.250 0.250 x4

<iii>
A relaxed structure of LiCdW. Source: Alexandria via LeMat-Bulk, functional PBE.

Lattice parameters (Å, degrees): 2.721 2.721 13.814 90.00 90.00 90.00
Space group I4mm (No. 107)
Unique sites:
Li: 0.000 0.000 0.000 x2
Cd: 0.000 0.000 0.667 x2
W: 0.000 0.000 0.339 x2

The most stable of them is <iii>.